# 1
Computed, not measured: a geometry-optimized Tm3InFe structure at the PBE-GGA level of DFT.

Lattice parameters (Å, degrees): 4.4615 8.6535 12.5759 90.00 90.00 90.00
Last column: nearest neighbours and their distance in Å.
Fractional coordinates of all 20 atoms:
Tm 0.2500 0.1789 0.4727  2 Fe 2.98, 1 Tm 3.30
Tm 0.7500 0.3211 0.9727  2 Fe 2.98, 1 Tm 3.30
Tm 0.7500 0.8211 0.5273  2 Fe 2.98, 1 Tm 3.30
Tm 0.2500 0.6789 0.0273  2 Fe 2.98, 1 Tm 3.30
Tm 0.2500 0.3825 0.7651  2 Fe 2.56-2.86
Tm 0.7500 0.1175 0.2651  2 Fe 2.56-2.86
Tm 0.7500 0.6175 0.2349  2 Fe 2.56-2.86
Tm 0.2500 0.8825 0.7349  2 Fe 2.56-2.86
Tm 0.2500 0.0521 0.0799  3 Fe 2.63-2.81
Tm 0.7500 0.4479 0.5799  3 Fe 2.63-2.81
Tm 0.7500 0.9479 0.9201  3 Fe 2.63-2.81
Tm 0.2500 0.5521 0.4201  3 Fe 2.63-2.81
In 0.2500 0.3666 0.2029  7 Tm 3.13-3.49, 2 Fe 3.15
In 0.7500 0.1334 0.7029  7 Tm 3.13-3.49, 2 Fe 3.15
In 0.7500 0.6334 0.7971  7 Tm 3.13-3.49, 2 Fe 3.15
In 0.2500 0.8666 0.2971  7 Tm 3.13-3.49, 2 Fe 3.15
Fe 0.2500 0.1372 0.8795  5 Tm 2.56-2.86
Fe 0.7500 0.3628 0.3795  5 Tm 2.56-2.86
Fe 0.7500 0.8628 0.1205  5 Tm 2.56-2.86
Fe 0.2500 0.6372 0.6205  5 Tm 2.56-2.86

energy above the most stable polymorph in this dataset: 0.0 meV/atom
E: -25.1 eV per formula unit
formation energy from the elements: -0.09 eV per atom
D(E_F): 16.955 states/eV per cell

---

# 2
Computed, not measured: a geometry-optimized Tm8In2Fe structure at the PBE-GGA level of DFT.

Lattice parameters (Å, degrees): 5.4287 6.8167 8.9068 112.09 107.74 90.00
Last column: nearest neighbours and their distance in Å.
Fractional coordinates of all 11 atoms:
Tm 0.3884 0.6117 0.7768  1 Fe 2.58
Tm 0.6300 0.8902 0.2599  1 Fe 2.59
Tm 0.8063 0.7788 0.6127  4 In 3.25-3.57, 8 Tm 3.33-3.47
Tm 0.9947 0.2350 0.9895  2 Fe 3.17, 2 In 3.28-3.47, 8 Tm 3.28-3.55
Tm 0.1937 0.2212 0.3873  4 In 3.25-3.57, 8 Tm 3.33-3.47
Tm 0.3700 0.1098 0.7401  1 Fe 2.59
Tm 0.6116 0.3883 0.2232  1 Fe 2.58
Tm 0.0053 0.7650 0.0105  2 Fe 3.17, 2 In 3.28-3.47, 8 Tm 3.28-3.55
In 0.8159 0.3116 0.6318  11 Tm 3.25-3.57
In 0.1841 0.6884 0.3682  11 Tm 3.25-3.57
Fe 0.5000 0.0000 0.0000  4 Tm 2.58-2.59

E: -51.7 eV per formula unit
formation energy from the elements: -0.18 eV per atom
D(E_F): 10.320 states/eV per cell

---

# 3
Computed, not measured: a geometry-optimized Tm3InFe8 structure at the PBE-GGA level of DFT.

Lattice parameters (Å, degrees): 5.0560 5.0560 8.7617 73.23 73.23 60.00
Last column: nearest neighbours and their distance in Å.
Fractional coordinates of all 12 atoms:
Tm 0.3753 0.3753 0.8740  12 Fe 2.96-2.98, 4 Tm 3.12-3.13
Tm 0.9981 0.9981 0.0056  12 Fe 2.95-3.02, 1 In 3.07, 3 Tm 3.12
Tm 0.5016 0.5016 0.4951  12 Fe 2.92-2.98, 3 In 3.08, 1 Tm 3.13
In 0.8742 0.8742 0.3774  12 Fe 2.93-2.97, 4 Tm 3.07-3.08
Fe 0.9373 0.4369 0.1888  6 Fe 2.53-2.55
Fe 0.4380 0.9382 0.6856  6 Fe 2.50-2.53
Fe 0.4369 0.4369 0.1888  6 Fe 2.53-2.55
Fe 0.9382 0.9382 0.6856  6 Fe 2.50-2.53
Fe 0.1868 0.1868 0.4396  6 Fe 2.50-2.53
Fe 0.6883 0.6883 0.9351  6 Fe 2.53-2.55
Fe 0.4369 0.9373 0.1888  6 Fe 2.53-2.55
Fe 0.9382 0.4380 0.6856  6 Fe 2.50-2.53

energy above the most stable polymorph in this dataset: 0.0 meV/atom
E: -85.3 eV per formula unit
formation energy from the elements: -0.12 eV per atom
D(E_F): 12.091 states/eV per cell

---

# 4
Computed, not measured: a geometry-optimized Tm8InFe2 structure at the PBE-GGA level of DFT.

Lattice parameters (Å, degrees): 5.2311 7.7276 7.7276 112.28 97.47 97.47
Last column: nearest neighbours and their distance in Å.
Fractional coordinates of all 11 atoms:
Tm 0.5756 0.3339 0.0640  2 Fe 2.81-2.84
Tm 0.5756 0.0640 0.3339  2 Fe 2.81-2.84
Tm 0.2014 0.3889 0.3889  2 Fe 2.88, 1 Tm 3.20
Tm 0.9999 0.2533 0.7525  2 Fe 2.74-2.75
Tm 0.9999 0.7525 0.2533  2 Fe 2.74-2.75
Tm 0.7989 0.6178 0.6178  2 Fe 2.88, 1 Tm 3.20
Tm 0.4241 0.9421 0.6721  2 Fe 2.81-2.84
Tm 0.4241 0.6721 0.9421  2 Fe 2.81-2.84
Fe 0.5001 0.6878 0.3185  8 Tm 2.74-2.88
Fe 0.5001 0.3185 0.6878  8 Tm 2.74-2.88
In 0.0002 0.0032 0.0032  12 Tm 3.21-3.54

E: -56.3 eV per formula unit
formation energy from the elements: -0.07 eV per atom
D(E_F): 8.333 states/eV per cell

---

# 5
Computed, not measured: a geometry-optimized U2InFe structure at the PBE-GGA level of DFT.

Lattice parameters (Å, degrees): 3.0111 3.0111 10.2033 81.51 81.51 60.00
Last column: nearest neighbours and their distance in Å.
Fractional coordinates of all 4 atoms:
U 0.2622 0.2622 0.2133  3 Fe 2.76, 6 U 3.01
U 0.7378 0.7378 0.7867  3 Fe 2.76, 6 U 3.01
Fe 0.0000 0.0000 0.0000  6 U 2.76, 6 Fe 3.01
In 0.5000 0.5000 0.5000  6 In 3.01, 6 U 3.37

E: -32.9 eV per formula unit
formation energy from the elements: 0.23 eV per atom
D(E_F): 8.478 states/eV per cell

---

# 6
Computed, not measured: a geometry-optimized U2In2Fe3 structure at the PBE-GGA level of DFT.

Lattice parameters (Å, degrees): 4.6096 4.8193 6.3651 98.89 111.23 90.00
Last column: nearest neighbours and their distance in Å.
Fractional coordinates of all 7 atoms:
U 0.8471 0.6458 0.6942  2 Fe 2.08-2.28
U 0.1529 0.3542 0.3058  2 Fe 2.08-2.28
In 0.5851 0.8154 0.1702  5 Fe 2.70-2.91, 1 In 2.91
In 0.4149 0.1846 0.8298  5 Fe 2.70-2.91, 1 In 2.91
Fe 0.0000 0.0000 0.0000  2 U 2.28
Fe 0.7986 0.2103 0.5972  1 U 2.08
Fe 0.2014 0.7897 0.4028  1 U 2.08

E: -54.4 eV per formula unit
formation energy from the elements: -0.14 eV per atom
D(E_F): 4.525 states/eV per cell

---

Q: Look up the E of the fifth one.
A: -32.9 eV per formula unit